(1)
Material: Th4Br
Method: DFT, PBE
State: relaxed

Summary:
Density in kg/m3: 9702
Formation energy without anion corrections in eV per formula unit: 0.5

a = 5.5670 Å, b = 5.5670 Å, c = 5.5670 Å
α = 90.00°, β = 90.00°, γ = 90.00°
Closest atoms and distances in Å follow each position.
Space group Pm-3m (No. 221)
Inequivalent atoms, fractional coordinates:
Th  0.0000  0.0000  0.0000 [1 per cell]  12 Th 3.94
Th  0.0000  0.5000  0.5000 [3 per cell]  2 Br 2.78
Br  0.5000  0.5000  0.5000 [1 per cell]  6 Th 2.78

=====

(2)
Material: NaIn2F7
Method: DFT, PBE
State: relaxed

Summary:
Density in kg/m3: 4189
Energy above the lowest structure with this stoichiometry in meV/atom: 0
Formation energy without anion corrections in eV per formula unit: -25.3

a = 6.7766 Å, b = 10.8103 Å, c = 4.1733 Å
α = 90.00°, β = 90.00°, γ = 90.00°
Closest atoms and distances in Å follow each position.
Space group Cmmm (No. 65)
Inequivalent atoms, fractional coordinates:
Na  0.0000  0.0000  0.0000 [2 per cell]  10 F 2.87-3.11
In  0.0000  0.3044  0.5000 [4 per cell]  7 F 2.09-2.20
F  0.0000  0.2874  0.0000 [4 per cell]  2 In 2.09
F  0.0000  0.5000  0.5000 [2 per cell]  2 In 2.11
F  0.1886  0.1393  0.5000 [8 per cell]  2 In 2.20

=====

(3)
Material: NaGa2Ni
Method: DFT, PBE
State: relaxed

Summary:
Density in kg/m3: 3618
Calculated formation energy in meV/atom: 71

a = 5.2083 Å, b = 5.2083 Å, c = 14.9670 Å
α = 90.00°, β = 90.00°, γ = 90.00°
Closest atoms and distances in Å follow each position.
Space group I-42d (No. 122)
Inequivalent atoms, fractional coordinates:
Na  0.0000  0.0000  0.0000 [4 per cell]  8 Ga 3.35-3.58, 4 Ni 3.68
Ga  0.0291  0.2500  0.6250 [8 per cell]  2 Ni 2.28
Ni  0.0000  0.0000  0.5000 [4 per cell]  4 Ga 2.28

=====

(4)
Material: NiHBr
Method: DFT, PBE
State: relaxed

Summary:
Density in kg/m3: 4669
Energy above the lowest structure with this stoichiometry in meV/atom: 0

a = 3.8944 Å, b = 8.5227 Å, c = 5.9839 Å
α = 90.00°, β = 90.00°, γ = 90.00°
Closest atoms and distances in Å follow each position.
Space group Ama2 (No. 40)
Inequivalent atoms, fractional coordinates:
Ni  0.2500  0.0956  0.0000 [4 per cell]  2 H 1.57
H  0.0000  0.0000  0.8446 [4 per cell]  2 Ni 1.57
Br  0.2500  0.3110  0.7189 [4 per cell]  4 Ni 2.48-2.76

=====

(5)
Material: Pr2MgSi3Pt4
Method: DFT, PBE
State: relaxed

Summary:
Density in kg/m3: 10356
Formation energy without anion corrections in eV per formula unit: -10.5

a = 4.3046 Å, b = 4.3046 Å, c = 10.1309 Å
α = 90.00°, β = 90.00°, γ = 90.00°
Closest atoms and distances in Å follow each position.
Space group P-4m2 (No. 115)
Inequivalent atoms, fractional coordinates:
Pr  0.0000  0.5000  0.2470 [2 per cell]  8 Pt 3.26-3.30, 6 Si 3.28-3.35, 2 Mg 3.35
Mg  0.0000  0.0000  0.5000 [1 per cell]  4 Pt 2.57
Si  0.0000  0.5000  0.8747 [2 per cell]  5 Pt 2.40-2.50
Si  0.5000  0.5000  0.5000 [1 per cell]  4 Pt 2.57
Pt  0.0000  0.0000  0.0000 [1 per cell]  4 Si 2.50
Pt  0.0000  0.5000  0.6379 [2 per cell]  3 Si 2.40-2.57, 2 Mg 2.57
Pt  0.5000  0.5000  0.0000 [1 per cell]  4 Si 2.50

=====

(6)
Material: CoHCS
Method: DFT, PBE
State: relaxed

Summary:
Density in kg/m3: 3516
Energy above the lowest structure with this stoichiometry in meV/atom: 212

a = 3.6698 Å, b = 3.2980 Å, c = 4.1755 Å
α = 90.00°, β = 103.57°, γ = 90.00°
Closest atoms and distances in Å follow each position.
Space group Pm (No. 6)
Inequivalent atoms, fractional coordinates:
Co  0.0000  0.0000  0.0000 [1 per cell]  2 H 1.68, 1 C 1.83
H  0.0871  0.5000  0.0096 [1 per cell]  2 Co 1.68
C  0.5122  0.0000  0.1310 [1 per cell]  1 S 1.63
S  0.8407  0.0000  0.4690 [1 per cell]  1 C 1.63

=====

(7)
Material: CaLaZn2
Method: DFT, PBE
State: relaxed

Summary:
Density in kg/m3: 4391
Energy above the lowest structure with this stoichiometry in meV/atom: 243
Calculated formation energy in meV/atom: -67

a = 3.9590 Å, b = 3.9590 Å, c = 25.8956 Å
α = 90.00°, β = 90.00°, γ = 120.00°
Closest atoms and distances in Å follow each position.
Space group R-3m (No. 166, hexagonal axes)
Inequivalent atoms, fractional coordinates:
Ca  0.0000  0.0000  0.0000 [3 per cell]  6 Zn 3.13
La  0.0000  0.0000  0.5000 [3 per cell]  6 Zn 3.16
Zn  0.0000  0.0000  0.2507 [6 per cell]  3 Ca 3.13, 3 La 3.16

=====

(8)
Material: HgTeIN2
Method: DFT, PBE
State: relaxed

Summary:
Density in kg/m3: 5786
Energy above the lowest structure with this stoichiometry in meV/atom: 0
Formation energy without anion corrections in eV per formula unit: 6.4

a = 4.1546 Å, b = 4.1546 Å, c = 8.0329 Å
α = 90.00°, β = 90.00°, γ = 90.00°
Closest atoms and distances in Å follow each position.
Space group P4/mmm (No. 123)
Inequivalent atoms, fractional coordinates:
Hg  0.0000  0.0000  0.0000 [1 per cell]  4 I 2.94
Te  0.5000  0.5000  0.5000 [1 per cell]  4 N 2.08
I  0.5000  0.5000  0.0000 [1 per cell]  4 Hg 2.94
N  0.0000  0.5000  0.5000 [2 per cell]  2 Te 2.08

=====

(9)
Material: FeCu2Pt3
Method: DFT, PBE
State: relaxed

Summary:
Density in kg/m3: 14859
Energy above the lowest structure with this stoichiometry in meV/atom: 135
Calculated formation energy in meV/atom: -65

a = 5.4436 Å, b = 13.2978 Å, c = 4.7436 Å
α = 90.00°, β = 90.00°, γ = 90.00°
Closest atoms and distances in Å follow each position.
Space group Cmcm (No. 63)
Inequivalent atoms, fractional coordinates:
Fe  0.0000  0.1529  0.2500 [4 per cell]  8 Pt 2.65-2.75, 4 Cu 2.68
Cu  0.2372  0.0000  0.0000 [8 per cell]  3 Cu 2.37-2.58, 4 Pt 2.63
Pt  0.0000  0.3600  0.7500 [4 per cell]  4 Cu 2.63, 2 Fe 2.73, 6 Pt 2.78
Pt  0.2477  0.1769  0.7500 [8 per cell]  2 Cu 2.63, 3 Fe 2.65-2.75, 5 Pt 2.70-2.78

=====

(10)
Material: HgBiBr6
Method: DFT, PBE
State: relaxed

Summary:
Density in kg/m3: 5425
Formation energy without anion corrections in eV per formula unit: -3.0

a = 6.9837 Å, b = 6.9844 Å, c = 7.5515 Å
α = 90.00°, β = 62.66°, γ = 60.44°
Closest atoms and distances in Å follow each position.
Space group P-1 (No. 2)
Inequivalent atoms, fractional coordinates:
Hg  0.0000  0.0000  0.0000 [1 per cell]  6 Br 2.82-2.87
Bi  0.0000  0.5000  0.5000 [1 per cell]  6 Br 2.84-2.85
Br  0.1693  0.2505  0.7529 [2 per cell]  1 Hg 2.82, 1 Bi 2.85
Br  0.1713  0.0796  0.2470 [2 per cell]  1 Hg 2.82, 1 Bi 2.85
Br  0.4996  0.4206  0.2481 [2 per cell]  1 Bi 2.84, 1 Hg 2.87

=====

(11)
Material: CaZrNi10
Method: DFT, PBE
State: relaxed

Summary:
Density in kg/m3: 7451
Calculated formation energy in meV/atom: -200

a = 3.9554 Å, b = 4.8373 Å, c = 8.3654 Å
α = 90.00°, β = 90.00°, γ = 90.00°
Closest atoms and distances in Å follow each position.
Space group Pmmm (No. 47)
Inequivalent atoms, fractional coordinates:
Ca  0.0000  0.0000  0.0000 [1 per cell]  10 Ni 2.83-3.12
Zr  0.0000  0.5000  0.5000 [1 per cell]  6 Ni 2.70-2.76
Ni  0.0000  0.0000  0.3404 [2 per cell]  7 Ni 2.39-2.67
Ni  0.0000  0.5000  0.1768 [2 per cell]  6 Ni 2.40-2.47
Ni  0.5000  0.0000  0.5000 [1 per cell]  8 Ni 2.37-2.39
Ni  0.5000  0.2552  0.2584 [4 per cell]  8 Ni 2.37-2.47
Ni  0.5000  0.5000  0.0000 [1 per cell]  8 Ni 2.46-2.47

=====

(12)
Material: Na5NdI8
Method: DFT, PBE
State: relaxed

Summary:
Density in kg/m3: 4075
Formation energy without anion corrections in eV per formula unit: -17.6

a = 8.7845 Å, b = 8.7901 Å, c = 8.7974 Å
α = 115.21°, β = 106.66°, γ = 106.65°
Closest atoms and distances in Å follow each position.
Space group P1 (No. 1)
Inequivalent atoms, fractional coordinates:
Na  0.0000  0.0000  0.0000 [1 per cell]  4 I 3.25-3.26
Na  0.0659  0.9070  0.4523 [1 per cell]  6 I 3.10-3.43
Na  0.4545  0.5464  0.6118 [1 per cell]  6 I 3.10-3.41
Na  0.5451  0.1574  0.0911 [1 per cell]  6 I 3.10-3.42
Na  0.9334  0.3858  0.8404 [1 per cell]  6 I 3.09-3.42
Nd  0.4994  0.7488  0.2479 [1 per cell]  4 I 3.16
I  0.1686  0.5647  0.3002 [1 per cell]  1 Nd 3.16, 3 Na 3.24-3.32
I  0.2585  0.2454  0.8988 [1 per cell]  4 Na 3.10-3.42
I  0.2630  0.6976  0.8659 [1 per cell]  1 Nd 3.16, 3 Na 3.24-3.32
I  0.3460  0.0989  0.3577 [1 per cell]  4 Na 3.10-3.42
I  0.6536  0.0117  0.7530 [1 per cell]  4 Na 3.09-3.41
I  0.7353  0.6022  0.4327 [1 per cell]  1 Nd 3.16, 3 Na 3.24-3.32
I  0.7403  0.6403  0.9862 [1 per cell]  4 Na 3.10-3.43
I  0.8309  0.1317  0.3956 [1 per cell]  1 Nd 3.16, 3 Na 3.24-3.32

=====

(13)
Material: TaIr2Cl
Method: DFT, PBE
State: relaxed

Summary:
Density in kg/m3: 9940
Energy above the lowest structure with this stoichiometry in meV/atom: 0
Formation energy without anion corrections in eV per formula unit: -0.1

a = 9.7559 Å, b = 2.9960 Å, c = 7.1104 Å
α = 90.00°, β = 105.00°, γ = 90.00°
Closest atoms and distances in Å follow each position.
Space group Cm (No. 8)
Inequivalent atoms, fractional coordinates:
Ta  0.0000  0.0000  0.0000 [2 per cell]  2 Cl 2.50, 4 Ir 2.52-2.53
Ir  0.0853  0.5000  0.7677 [2 per cell]  2 Ta 2.52, 3 Ir 2.65-2.70
Ir  0.3125  0.0000  0.7886 [2 per cell]  2 Ta 2.53, 3 Ir 2.65-2.70
Cl  0.0653  0.5000  0.2917 [2 per cell]  2 Ta 2.50

=====

(14)
Material: CaSc3Co
Method: DFT, PBE
State: relaxed

Summary:
Density in kg/m3: 3135
Energy above the lowest structure with this stoichiometry in meV/atom: 0
Calculated formation energy in meV/atom: -68

a = 4.9848 Å, b = 4.9848 Å, c = 4.9848 Å
α = 90.00°, β = 90.00°, γ = 90.00°
Closest atoms and distances in Å follow each position.
Space group Pm-3m (No. 221)
Inequivalent atoms, fractional coordinates:
Ca  0.0000  0.0000  0.0000 [1 per cell]  12 Sc 3.52
Sc  0.0000  0.5000  0.5000 [3 per cell]  2 Co 2.49
Co  0.5000  0.5000  0.5000 [1 per cell]  6 Sc 2.49

=====

(15)
Material: LaPrRuRh
Method: DFT, PBE
State: relaxed

Summary:
Density in kg/m3: 8847
Calculated formation energy in meV/atom: -326

a = 7.1350 Å, b = 7.1350 Å, c = 7.1350 Å
α = 90.00°, β = 90.00°, γ = 90.00°
Closest atoms and distances in Å follow each position.
Space group F-43m (No. 216)
Inequivalent atoms, fractional coordinates:
La  0.0000  0.0000  0.0000 [4 per cell]  4 Rh 3.09, 4 Ru 3.09
Pr  0.0000  0.0000  0.5000 [4 per cell]  4 Ru 3.09, 4 Rh 3.09
Ru  0.2500  0.2500  0.2500 [4 per cell]  4 La 3.09, 4 Pr 3.09
Rh  0.2500  0.2500  0.7500 [4 per cell]  4 La 3.09, 4 Pr 3.09

=====

(16)
Material: PuGe3Au3
Method: DFT, PBE
State: relaxed

Summary:
Density in kg/m3: 9871
Energy above the lowest structure with this stoichiometry in meV/atom: 216
Calculated formation energy in meV/atom: 100

a = 7.0755 Å, b = 7.0755 Å, c = 7.0755 Å
α = 90.00°, β = 90.00°, γ = 90.00°
Closest atoms and distances in Å follow each position.
Space group Pm-3n (No. 223)
Inequivalent atoms, fractional coordinates:
Pu  0.0000  0.0000  0.0000 [2 per cell]  12 Ge 3.96, 12 Au 3.96
Ge  0.0000  0.2500  0.5000 [6 per cell]  4 Au 2.50
Au  0.0000  0.5000  0.2500 [6 per cell]  4 Ge 2.50

=====

(17)
Material: SiSb
Method: DFT, PBE
State: relaxed

Summary:
Density in kg/m3: 5751
Formation energy without anion corrections in eV per formula unit: 0.8

a = 3.9909 Å, b = 11.4082 Å, c = 3.8009 Å
α = 90.00°, β = 90.00°, γ = 90.00°
Closest atoms and distances in Å follow each position.
Space group Cmcm (No. 63)
Inequivalent atoms, fractional coordinates:
Si  0.0000  0.0813  0.2500 [4 per cell]  2 Si 2.66, 4 Sb 2.88
Sb  0.0000  0.3447  0.2500 [4 per cell]  5 Si 2.88-3.00

=====

(18)
Material: K4Pa3BiO12
Method: DFT, PBE
State: relaxed

Summary:
Density in kg/m3: 6308
Formation energy without anion corrections in eV per formula unit: -53.1

a = 8.6993 Å, b = 8.6993 Å, c = 8.6993 Å
α = 90.00°, β = 90.00°, γ = 90.00°
Closest atoms and distances in Å follow each position.
Space group Im-3m (No. 229)
Inequivalent atoms, fractional coordinates:
K  0.2500  0.2500  0.2500 [8 per cell]  12 O 3.08
Pa  0.0000  0.0000  0.5000 [6 per cell]  6 O 2.17-2.18
Bi  0.0000  0.0000  0.0000 [2 per cell]  6 O 2.17
O  0.0000  0.0000  0.2492 [12 per cell]  1 Bi 2.17, 1 Pa 2.18
O  0.0000  0.2500  0.5000 [12 per cell]  2 Pa 2.17

=====

(19)
Material: PmPaPb6
Method: DFT, PBE
State: relaxed

Summary:
Density in kg/m3: 11671
Calculated formation energy in meV/atom: -170

a = 4.8579 Å, b = 4.8579 Å, c = 9.7625 Å
α = 90.00°, β = 90.00°, γ = 90.00°
Closest atoms and distances in Å follow each position.
Space group P4/mmm (No. 123)
Inequivalent atoms, fractional coordinates:
Pm  0.0000  0.0000  0.0000 [1 per cell]  12 Pb 3.44-3.47
Pa  0.0000  0.0000  0.5000 [1 per cell]  12 Pb 3.42-3.44
Pb  0.0000  0.5000  0.2541 [4 per cell]  8 Pb 3.42-3.47, 2 Pa 3.42, 2 Pm 3.47
Pb  0.5000  0.5000  0.0000 [1 per cell]  4 Pm 3.44, 8 Pb 3.47
Pb  0.5000  0.5000  0.5000 [1 per cell]  8 Pb 3.42, 4 Pa 3.44

=====

(20)
Material: TeOsPt
Method: DFT, PBE
State: relaxed

Summary:
Density in kg/m3: 15494
Energy above the lowest structure with this stoichiometry in meV/atom: 233
Formation energy without anion corrections in eV per formula unit: 1.8

a = 3.0675 Å, b = 3.0675 Å, c = 11.6835 Å
α = 90.00°, β = 90.00°, γ = 90.00°
Closest atoms and distances in Å follow each position.
Space group I4mm (No. 107)
Inequivalent atoms, fractional coordinates:
Te  0.0000  0.0000  0.0000 [2 per cell]  4 Os 2.73
Os  0.0000  0.0000  0.6424 [2 per cell]  4 Te 2.73, 4 Pt 2.81
Pt  0.0000  0.0000  0.2954 [2 per cell]  4 Os 2.81, 4 Pt 3.07